1.
An optimized crystal structure of P2IrCO. Source: Alexandria, functional PBE.

a = 4.312 Å, b = 4.312 Å, c = 2.992 Å
α = 90.00°, β = 90.00°, γ = 90.00°
Fractional coordinates of all 5 atoms:
P1 0.000 0.500 0.000
P2 0.500 0.000 0.000
C1 0.000 0.000 0.000
Ir1 0.500 0.500 0.500
O1 0.000 0.000 0.500

The calculation puts the calculated density at 8.42 g/cm³. Its space group is P4/mmm, No. 123. The energy above the most stable polymorph in this dataset comes out at 0.000 eV per atom. The uncorrected formation energy is 887 meV/atom. The value obtained for the magnetic moment is 0.0 μB/cell. The value obtained for the volume is 11.127 Å³/atom.

2.
An optimized crystal structure of IrPd. Source: Alexandria, functional PBE.

a = 5.687 Å, b = 5.687 Å, c = 5.687 Å
α = 90.00°, β = 90.00°, γ = 90.00°
Last column: magnetic moment on the atom in μB.
Fractional coordinates of all 8 atoms:
Ir1 0.000 0.000 0.000  0.96
Ir2 0.000 0.500 0.500  0.96
Ir3 0.500 0.000 0.500  0.96
Ir4 0.500 0.500 0.000  0.96
Pd1 0.250 0.250 0.250  0.44
Pd2 0.250 0.750 0.750  0.44
Pd3 0.750 0.250 0.750  0.44
Pd4 0.750 0.750 0.250  0.44

The calculation puts the calculated density at 10.79 g/cm³. Its space group is F-43m, No. 216. The value obtained for the magnetic moment is 5.8 μB/cell. The value obtained for the formation energy is 1.57 eV/atom. The value obtained for the volume is 22.986 Å³/atom.

3.
An optimized crystal structure of Ce4GeSe2I. Source: Alexandria, functional PBE.

a = 4.275 Å, b = 7.404 Å, c = 7.471 Å
α = 70.74°, β = 90.00°, γ = 90.00°
Last column: magnetic moment on the atom in μB.
Fractional coordinates of all 8 atoms:
Ce1 0.000 0.768 0.728  0.81
Ce2 0.000 0.232 0.272  0.81
Ce3 0.500 0.756 0.263  0.72
Ce4 0.500 0.244 0.737  0.72
Ge1 0.000 0.500 0.500  -0.03
Se1 0.000 0.000 0.000  -0.02
Se2 0.500 0.000 0.500  -0.02
I1 0.500 0.500 0.000  -0.01

The calculation puts the calculated density at 6.83 g/cm³. Its space group is P2/m, No. 10. The uncorrected formation energy is -1311 meV/atom. The value obtained for the magnetic moment is 3.6 μB/cell. The value obtained for the volume is 27.902 Å³/atom.

4.
An optimized crystal structure of ReHg2P. Source: Alexandria, functional PBE.

a = 3.084 Å, b = 3.084 Å, c = 8.070 Å
α = 90.00°, β = 90.00°, γ = 90.00°
Fractional coordinates of all 4 atoms:
Re1 0.500 0.500 0.698
Hg1 0.000 0.000 0.958
Hg2 0.500 0.500 0.277
P1 0.000 0.000 0.567

The calculation puts the calculated density at 13.37 g/cm³. Its space group is P4mm, No. 99. The value obtained for the magnetic moment is 0.0 μB/cell. The value obtained for the formation energy is 0.26 eV/atom. The value obtained for the volume is 19.193 Å³/atom.